[1]
The following is a DFT calculation (GGA-PBEsol) of crystalline LaCrTc2 at its relaxed geometry.

Values from the calculation:
E_tot (eV per atom): -9.05
Size of the total moment (μB per formula unit): 0.0

abc: 3.0795 4.7077 8.9477
angles: 90.00 90.00 90.00
Last column: nearest neighbours and their distance in Å.
Fractional positions:
La  0.0000  0.0000  0.0000  6 La 2.81-3.08, 4 Tc 3.03
La  0.5000  0.5000  0.0000  6 La 2.81-3.08, 4 Tc 3.03
Cr  0.0000  0.0000  0.5000  4 Tc 2.41
Cr  0.5000  0.5000  0.5000  4 Tc 2.41
Tc  0.0000  0.5000  0.2922  2 Cr 2.41
Tc  0.0000  0.5000  0.7078  2 Cr 2.41
Tc  0.5000  0.0000  0.2922  2 Cr 2.41
Tc  0.5000  0.0000  0.7078  2 Cr 2.41

[2]
The following is a DFT calculation (GGA-PBEsol) of crystalline RbTi3Mn at its relaxed geometry.

Values from the calculation:
E_tot (eV per atom): -5.01
Size of the total moment (μB per formula unit): 1.9

abc: 4.6155 4.6155 4.6155
angles: 90.00 90.00 90.00
Last column: nearest neighbours and their distance in Å.
Fractional positions:
Rb  0.0000  0.0000  0.0000  6 Ti 2.31
Ti  0.0000  0.0000  0.5000  2 Rb 2.31
Ti  0.0000  0.5000  0.0000  2 Rb 2.31
Ti  0.5000  0.0000  0.0000  2 Rb 2.31
Mn  0.5000  0.5000  0.5000  12 Ti 3.26

[3]
The following is a DFT calculation (GGA-PBEsol) of crystalline KZrRh2 at its relaxed geometry.

Values from the calculation:
E_tot (eV per atom): -6.07
Size of the total moment (μB per formula unit): 0.0

abc: 3.9920 3.9920 9.0273
angles: 90.00 90.00 90.00
Last column: nearest neighbours and their distance in Å.
Fractional positions:
K  0.0000  0.0000  0.0000  8 Rh 2.82-3.01, 4 Zr 3.01
K  0.5000  0.5000  0.5000  8 Rh 2.82-3.01, 4 Zr 3.01
Zr  0.0000  0.5000  0.7500  8 Rh 2.82-3.01, 4 K 3.01
Zr  0.5000  0.0000  0.2500  8 Rh 2.82-3.01, 4 K 3.01
Rh  0.0000  0.0000  0.5000  4 K 2.82, 4 Zr 3.01, 4 Rh 3.01
Rh  0.0000  0.5000  0.2500  4 Zr 2.82, 4 K 3.01, 4 Rh 3.01
Rh  0.5000  0.0000  0.7500  4 Zr 2.82, 4 K 3.01, 4 Rh 3.01
Rh  0.5000  0.5000  0.0000  4 K 2.82, 4 Zr 3.01, 4 Rh 3.01

[4]
The following is a DFT calculation (GGA-PBEsol) of crystalline Zr2InSbPb at its relaxed geometry.

Values from the calculation:
Size of the total moment (μB per formula unit): 0.0
Formation energy (no corrections) (eV/atom): 0.660

abc: 5.3246 5.3246 5.3531
angles: 90.00 90.00 90.00
Last column: nearest neighbours and their distance in Å.
Fractional positions:
Zr  0.0000  0.5000  0.0000  2 Sb 2.66
Zr  0.5000  0.0000  0.0000  2 Sb 2.66
In  0.0000  0.0000  0.5000  2 Sb 2.68
Sb  0.0000  0.0000  0.0000  4 Zr 2.66, 2 In 2.68
Pb  0.5000  0.5000  0.5000  4 In 3.77, 8 Zr 3.78

[5]
The following is a DFT calculation (GGA-PBEsol) of crystalline Ag3GeP at its relaxed geometry.

Values from the calculation:
E_tot (eV per atom): -3.20
Size of the total moment (μB per formula unit): 0.0

abc: 4.7661 4.7661 4.7661
angles: 90.00 90.00 90.00
Last column: nearest neighbours and their distance in Å.
Fractional positions:
Ag  0.0000  0.0000  0.5000  2 Ge 2.38
Ag  0.0000  0.5000  0.0000  2 Ge 2.38
Ag  0.5000  0.0000  0.0000  2 Ge 2.38
Ge  0.0000  0.0000  0.0000  6 Ag 2.38
P  0.5000  0.5000  0.5000  12 Ag 3.37

[6]
The following is a DFT calculation (GGA-PBEsol) of crystalline Al2NiBr at its relaxed geometry.

Values from the calculation:
Size of the total moment (μB per formula unit): 0.0
Energy above the most stable polymorph in this dataset (meV per atom): 10
Formation energy (no corrections) (eV/atom): 0.416

abc: 3.7019 3.7019 4.9851
angles: 90.00 90.00 90.00
Last column: nearest neighbours and their distance in Å.
Fractional positions:
Al  0.0000  0.5000  0.0000  4 Al 2.62
Al  0.5000  0.0000  0.0000  4 Al 2.62
Ni  0.0000  0.0000  0.5000  4 Br 2.62
Br  0.5000  0.5000  0.5000  4 Ni 2.62

[7]
The following is a DFT calculation (GGA-PBEsol) of crystalline MnSe2F2 at its relaxed geometry.

Values from the calculation:
Size of the total moment (μB per formula unit): 5.1
Formation energy (no corrections) (eV/atom): -0.492

abc: 3.4075 3.4075 16.8170
angles: 90.00 90.00 90.00
Last column: nearest neighbours and their distance in Å.
Fractional positions:
Mn  0.0000  0.0000  0.0000  8 F 2.67
Mn  0.5000  0.5000  0.5000  8 F 2.67
Se  0.0000  0.5000  0.2500  4 Se 2.41
Se  0.0000  0.5000  0.7500  4 Se 2.41
Se  0.5000  0.0000  0.2500  4 Se 2.41
Se  0.5000  0.0000  0.7500  4 Se 2.41
F  0.0000  0.0000  0.4315  1 F 2.31
F  0.0000  0.0000  0.5685  1 F 2.31
F  0.5000  0.5000  0.0685  1 F 2.31
F  0.5000  0.5000  0.9315  1 F 2.31

[8]
The following is a DFT calculation (GGA-PBEsol) of crystalline AlCoNi6 at its relaxed geometry.

Values from the calculation:
Size of the total moment (μB per formula unit): 4.4
Energy above the most stable polymorph in this dataset (meV per atom): 0

abc: 3.4861 3.4861 6.9962
angles: 90.00 90.00 90.00
Last column: nearest neighbours and their distance in Å.
Fractional positions:
Al  0.0000  0.0000  0.0000  12 Ni 2.47-2.50
Co  0.0000  0.0000  0.5000  12 Ni 2.44-2.47
Ni  0.0000  0.5000  0.2565  2 Co 2.44, 8 Ni 2.44-2.50, 2 Al 2.50
Ni  0.0000  0.5000  0.7435  2 Co 2.44, 8 Ni 2.44-2.50, 2 Al 2.50
Ni  0.5000  0.0000  0.2565  2 Co 2.44, 8 Ni 2.44-2.50, 2 Al 2.50
Ni  0.5000  0.0000  0.7435  2 Co 2.44, 8 Ni 2.44-2.50, 2 Al 2.50
Ni  0.5000  0.5000  0.0000  4 Al 2.47, 8 Ni 2.50
Ni  0.5000  0.5000  0.5000  8 Ni 2.44, 4 Co 2.47